No. 1
Li2AcTmHg4 | PBE | optimized geometry

The space group is R-3m (No. 166, hexagonal axes) and the conventional cell measures 4.9525, 4.9525 and 27.8712 Å, with angles of 90.00, 90.00 and 120.00 degrees. Symmetry generates all atoms from Li at (0.0000, 0.0000, 0.2368), Ac at (0.0000, 0.0000, 0.0000), Tm at (0.0000, 0.0000, 0.5000), Hg at (0.0000, 0.0000, 0.1254) and Hg at (0.0000, 0.0000, 0.3928).

Its formation energy is -417 meV per atom. Its total energy is -50.8 eV for the cell shown.

---

No. 2
LiAcYHg | PBE | optimized geometry

The space group is F-43m (No. 216) and the conventional cell measures 7.772, 7.772 and 7.772 Å, with angles of 90.00, 90.00 and 90.00 degrees. Symmetry generates all atoms from Li at (0.000, 0.000, 0.000), Ac at (0.250, 0.250, 0.250), Y at (0.250, 0.250, 0.750) and Hg at (0.000, 0.000, 0.500).

Its formation energy is -178 meV per atom. Its total energy is -54.0 eV for the cell shown.

---

Calculated total magnetic moment (μB/atom), listed in the same order as above: 0.00 0.00